Material: AlCu2Bi
Method: DFT, GGA-PBEsol
State: optimized geometry

## Properties
spin magnetization: 0.000 μB/f.u.
symmetry: Fm-3m, No. 225
formation enthalpy at 0 K: 289.9 meV per atom
crystal system: cubic

abc: 4.609 4.609 4.609
angles: 60.00 60.00 60.00
Positions (direct):
Cu 0.750 0.750 0.750
Cu 0.250 0.250 0.250
Bi 0.500 0.500 0.500
Al 0.000 0.000 0.000